The following is a DFT calculation (PBE) of a geometry-optimized KInTc2 structure.

abc: 7.3877 7.3877 7.3877
angles: 151.85 142.83 47.28
With the nearest neighbours (Å) after each atom.
Fractional positions:
K 0.0000 0.0000 0.0000  2 K 3.59, 6 Tc 3.62-3.73, 2 In 3.88
In 0.7275 0.2275 0.5000  6 Tc 2.85-2.97
Tc 0.2413 0.7413 0.5000  2 Tc 2.29
Tc 0.3463 0.3463 0.0000  2 Tc 2.29

**Total DFT energy (no corrections)**: -5.36 eV per atom
**Energy of formation**: 0.782 eV per atom
**Crystal system**: orthorhombic
**Space group**: Imm2, No. 44
**Calculated volume**: 114.5 Å³/cell